Computed, not measured: an optimized crystal structure of LiYAg at the GGA-PBE level of DFT.

Unit cell a=4.6533 b=4.6533 c=3.5277 alpha=90.00 beta=90.00 gamma=120.00
Atoms (fractional coordinates):
Li: 0.0000 0.0000 0.0000
Y: 0.6667 0.3333 0.5000
Ag: 0.3333 0.6667 0.0000

Values from the calculation:
- offset from the most stable computed form (meV per atom) = 23.5
- E_form (meV per atom) = -135
- crystal system = hexagonal
- space-group type = P-6m2
- V (Å³ per atom) = 22.05
- total magnetization (μB per formula unit) = 0.00

Computed, not measured: an optimized crystal structure of LiY2Ag2 at the GGA-PBE level of DFT.

Unit cell a=8.0701 b=8.0701 c=3.7896 alpha=90.00 beta=90.00 gamma=90.00
Atoms (fractional coordinates):
Li: 0.0000 0.0000 0.0000
Li: 0.5000 0.5000 0.0000
Y: 0.1656 0.3344 0.5000
Y: 0.3344 0.8344 0.5000
Y: 0.6656 0.1656 0.5000
Y: 0.8344 0.6656 0.5000
Ag: 0.1308 0.6308 0.0000
Ag: 0.3692 0.1308 0.0000
Ag: 0.6308 0.8692 0.0000
Ag: 0.8692 0.3692 0.0000

Values from the calculation:
- offset from the most stable computed form (meV per atom) = 0.0
- E_form (meV per atom) = -200
- crystal system = tetragonal
- space-group type = P4/mbm
- V (Å³ per atom) = 24.68
- total magnetization (μB per formula unit) = 0.00

Computed, not measured: an optimized crystal structure of LiY6Ag2 at the GGA-PBE level of DFT.

Unit cell a=7.9958 b=7.9958 c=10.7333 alpha=126.33 beta=126.33 gamma=26.90
Atoms (fractional coordinates):
Li: 0.0000 0.0000 0.0000
Y: 0.0384 0.0384 0.6889
Y: 0.2990 0.2990 0.3966
Y: 0.3195 0.3195 0.9559
Y: 0.6805 0.6805 0.0441
Y: 0.7010 0.7010 0.6034
Y: 0.9616 0.9616 0.3111
Ag: 0.4107 0.4107 0.7592
Ag: 0.5893 0.5893 0.2408

Values from the calculation:
- E_form (meV per atom) = -91
- crystal system = monoclinic
- space-group type = C2/m
- V (Å³ per atom) = 27.36
- total magnetization (μB per formula unit) = 0.00

Computed, not measured: an optimized crystal structure of LiY2Ag2 at the GGA-PBE level of DFT.

Unit cell a=8.5145 b=8.5145 c=3.4546 alpha=90.00 beta=90.00 gamma=90.00
Atoms (fractional coordinates):
Li: 0.0000 0.0000 0.0000
Li: 0.5000 0.5000 0.0000
Y: 0.1570 0.3430 0.0000
Y: 0.3430 0.8430 0.0000
Y: 0.6570 0.1570 0.0000
Y: 0.8430 0.6570 0.0000
Ag: 0.1359 0.6359 0.5000
Ag: 0.3641 0.1359 0.5000
Ag: 0.6359 0.8641 0.5000
Ag: 0.8641 0.3641 0.5000

Values from the calculation:
- offset from the most stable computed form (meV per atom) = 134.4
- E_form (meV per atom) = -65
- crystal system = tetragonal
- space-group type = P4/mbm
- V (Å³ per atom) = 25.04
- total magnetization (μB per formula unit) = 0.00

Computed, not measured: an optimized crystal structure of LiYAg4 at the GGA-PBE level of DFT.

Unit cell a=5.5784 b=5.5784 c=5.5784 alpha=60.00 beta=60.00 gamma=60.00
Atoms (fractional coordinates):
Li: 0.0000 0.0000 0.0000
Y: 0.7500 0.7500 0.7500
Ag: 0.3745 0.3745 0.3745
Ag: 0.3745 0.3745 0.8765
Ag: 0.3745 0.8765 0.3745
Ag: 0.8765 0.3745 0.3745

Values from the calculation:
- offset from the most stable computed form (meV per atom) = 12.1
- E_form (meV per atom) = -157
- crystal system = cubic
- space-group type = F-43m
- V (Å³ per atom) = 20.46
- total magnetization (μB per formula unit) = 0.00

Computed, not measured: an optimized crystal structure of Li3Y2Ag4 at the GGA-PBE level of DFT.

Unit cell a=8.3295 b=8.3295 c=7.9394 alpha=90.00 beta=90.00 gamma=139.16
Atoms (fractional coordinates):
Li: 0.0000 0.0000 0.0000
Li: 0.0293 0.4707 0.2500
Li: 0.4707 0.0293 0.7500
Li: 0.5000 0.5000 0.5000
Li: 0.5293 0.9707 0.2500
Li: 0.9707 0.5293 0.7500
Y: 0.1111 0.8889 0.4093
Y: 0.3889 0.6111 0.9093
Y: 0.6111 0.3889 0.0907
Y: 0.8889 0.1111 0.5907
Ag: 0.1813 0.8187 0.0296
Ag: 0.1963 0.3037 0.2500
Ag: 0.3037 0.1963 0.7500
Ag: 0.3187 0.6813 0.5296
Ag: 0.6813 0.3187 0.4704
Ag: 0.6963 0.8037 0.2500
Ag: 0.8037 0.6963 0.7500
Ag: 0.8187 0.1813 0.9704

Values from the calculation:
- E_form (meV per atom) = -198
- crystal system = orthorhombic
- space-group type = Cmce
- V (Å³ per atom) = 20.01
- total magnetization (μB per formula unit) = 0.00

Computed, not measured: an optimized crystal structure of LiY4Ag5 at the GGA-PBE level of DFT.

Unit cell a=3.5834 b=3.5834 c=17.7555 alpha=90.00 beta=90.00 gamma=90.00
Atoms (fractional coordinates):
Li: 0.0000 0.0000 0.0000
Y: 0.0000 0.0000 0.1846
Y: 0.0000 0.0000 0.3950
Y: 0.0000 0.0000 0.6050
Y: 0.0000 0.0000 0.8154
Ag: 0.5000 0.5000 0.0807
Ag: 0.5000 0.5000 0.2902
Ag: 0.5000 0.5000 0.5000
Ag: 0.5000 0.5000 0.7098
Ag: 0.5000 0.5000 0.9193

Values from the calculation:
- E_form (meV per atom) = -291
- crystal system = tetragonal
- space-group type = P4/mmm
- V (Å³ per atom) = 22.80
- total magnetization (μB per formula unit) = 0.00

Computed, not measured: an optimized crystal structure of LiYAg at the GGA-PBE level of DFT.

Unit cell a=5.5499 b=5.5499 c=5.5499 alpha=141.77 beta=141.77 gamma=55.18
Atoms (fractional coordinates):
Li: 0.0000 0.0000 0.0000
Y: 0.6953 0.6953 0.0000
Ag: 0.3722 0.3722 0.0000

Values from the calculation:
- offset from the most stable computed form (meV per atom) = 0.0
- E_form (meV per atom) = -158
- crystal system = tetragonal
- space-group type = I4mm
- V (Å³ per atom) = 21.66
- total magnetization (μB per formula unit) = 0.00

Computed, not measured: an optimized crystal structure of Li2Y2Ag3 at the GGA-PBE level of DFT.

Unit cell a=11.9541 b=11.9541 c=3.4799 alpha=90.00 beta=90.00 gamma=162.49
Atoms (fractional coordinates):
Li: 0.2109 0.7891 0.0000
Li: 0.7891 0.2109 0.0000
Y: 0.0792 0.9208 0.0000
Y: 0.9208 0.0792 0.0000
Ag: 0.3405 0.6595 0.5000
Ag: 0.5000 0.5000 0.5000
Ag: 0.6595 0.3405 0.5000

Values from the calculation:
- E_form (meV per atom) = -200
- crystal system = orthorhombic
- space-group type = Cmmm
- V (Å³ per atom) = 21.38
- total magnetization (μB per formula unit) = 0.00

Computed, not measured: an optimized crystal structure of LiYAg at the GGA-PBE level of DFT.

Unit cell a=4.8439 b=4.8439 c=4.8439 alpha=60.00 beta=60.00 gamma=60.00
Atoms (fractional coordinates):
Li: 0.0000 0.0000 0.0000
Y: 0.2500 0.2500 0.2500
Ag: 0.5000 0.5000 0.5000

Values from the calculation:
- offset from the most stable computed form (meV per atom) = 527.4
- E_form (meV per atom) = 369
- crystal system = cubic
- space-group type = F-43m
- V (Å³ per atom) = 26.79
- total magnetization (μB per formula unit) = 0.00

Computed, not measured: an optimized crystal structure of Li2Y2Ag at the GGA-PBE level of DFT.

Unit cell a=9.7876 b=9.7876 c=9.7876 alpha=158.78 beta=158.78 gamma=30.18
Atoms (fractional coordinates):
Li: 0.2500 0.7500 0.5000
Li: 0.7500 0.2500 0.5000
Y: 0.0969 0.0969 0.0000
Y: 0.9031 0.9031 0.0000
Ag: 0.5000 0.5000 0.0000

Values from the calculation:
- offset from the most stable computed form (meV per atom) = 28.9
- E_form (meV per atom) = 56
- crystal system = tetragonal
- space-group type = I4/mmm
- V (Å³ per atom) = 24.54
- total magnetization (μB per formula unit) = 0.00

Computed, not measured: an optimized crystal structure of LiYZnAg at the GGA-PBE level of DFT.

Unit cell a=4.8615 b=4.8615 c=4.8615 alpha=60.00 beta=60.00 gamma=60.00
Atoms (fractional coordinates):
Li: 0.0000 0.0000 0.0000
Y: 0.5000 0.5000 0.5000
Zn: 0.2500 0.2500 0.2500
Ag: 0.7500 0.7500 0.7500

Values from the calculation:
- E_form (meV per atom) = -212
- crystal system = cubic
- space-group type = F-43m
- V (Å³ per atom) = 20.31
- total magnetization (μB per formula unit) = 0.00